[1]
An optimized crystal structure of TcAs2F, computed with GGA-PBEsol.

Calculated values
Its space-group type is Fm-3m. The value obtained for the distance to the lowest polymorph of the same formula is 0.0 meV/atom. As for the energy: -6.02 eV per atom. The formation energy from raw total energies is -0.17 eV per atom.

abc: 4.3095 4.3095 4.3095
angles: 60.00 60.00 60.00
Fractional coordinates of all 4 atoms:
Tc (0.0000, 0.0000, 0.0000)
As (0.2500, 0.2500, 0.2500)
As (0.7500, 0.7500, 0.7500)
F (0.5000, 0.5000, 0.5000)

***

[2]
An optimized crystal structure of Li2CuPO4, computed with GGA-PBEsol.

Calculated values
Its space-group type is P2_1. The value obtained for the distance to the lowest polymorph of the same formula is 11.3 meV/atom. As for the energy: -6.34 eV per atom. The formation energy from raw total energies is -1.96 eV per atom.

abc: 5.3672 4.8896 6.1252
angles: 90.00 92.36 90.00
Fractional coordinates of all 16 atoms:
Li (0.1563, 0.0000, 0.2514)
Li (0.3356, 0.5018, 0.0032)
Li (0.6644, 0.0018, 0.9968)
Li (0.8437, 0.5000, 0.7486)
Cu (0.3802, 0.4669, 0.5046)
Cu (0.6198, 0.9669, 0.4954)
P (0.1589, 0.0055, 0.7599)
P (0.8411, 0.5055, 0.2401)
O (0.1146, 0.4043, 0.2353)
O (0.1693, 0.3234, 0.7536)
O (0.2718, 0.8914, 0.5470)
O (0.3097, 0.9013, 0.9646)
O (0.6903, 0.4013, 0.0354)
O (0.7282, 0.3914, 0.4530)
O (0.8307, 0.8234, 0.2464)
O (0.8854, 0.9043, 0.7647)

***

[3]
An optimized crystal structure of LiCo2Ir, computed with GGA-PBEsol.

Calculated values
Its space-group type is Cmmm. As for the energy: -6.51 eV per atom. As for the formation energy: 305 meV per atom.

abc: 2.5533 2.5533 8.6838
angles: 90.00 90.00 117.21
Fractional coordinates of all 4 atoms:
Li (0.0000, 0.0000, 0.0000)
Co (0.5000, 0.5000, 0.2510)
Co (0.5000, 0.5000, 0.7490)
Ir (0.0000, 0.0000, 0.5000)

***

[4]
An optimized crystal structure of LaZrPt, computed with GGA-PBEsol.

Calculated values
Its space-group type is I4mm. The value obtained for the distance to the lowest polymorph of the same formula is 0.0 meV/atom. As for the energy: -7.71 eV per atom. As for the formation energy: -580 meV per atom.

abc: 6.4605 6.4605 6.4605
angles: 149.11 149.11 44.25
Fractional coordinates of all 3 atoms:
La (0.0000, 0.0000, 0.0000)
Zr (0.2883, 0.2883, 0.0000)
Pt (0.6868, 0.6868, 0.0000)

***

[5]
An optimized crystal structure of LaBeCo2, computed with GGA-PBEsol.

Calculated values
Its space-group type is Imm2. As for the energy: -5.88 eV per atom. As for the formation energy: 325 meV per atom.

abc: 5.1180 5.1180 5.1180
angles: 143.04 134.26 60.21
Fractional coordinates of all 4 atoms:
La (0.0000, 0.0000, 0.0000)
Be (0.2750, 0.7750, 0.5000)
Co (0.4541, 0.4541, 0.0000)
Co (0.7269, 0.2269, 0.5000)

***

[6]
An optimized crystal structure of Cu3SbS3, computed with GGA-PBEsol.

Calculated values
Its space-group type is P2_12_12_1. The value obtained for the distance to the lowest polymorph of the same formula is 0.0 meV/atom. As for the energy: -4.60 eV per atom. The formation energy from raw total energies is -0.21 eV per atom.

abc: 6.2841 7.9080 10.1308
angles: 90.00 90.00 90.00
Fractional coordinates of all 28 atoms:
Cu (0.0042, 0.0803, 0.4674)
Cu (0.0285, 0.1767, 0.1000)
Cu (0.1271, 0.3772, 0.4176)
Cu (0.3729, 0.6228, 0.9176)
Cu (0.4715, 0.8233, 0.6000)
Cu (0.4958, 0.9197, 0.9674)
Cu (0.5042, 0.4197, 0.5326)
Cu (0.5285, 0.3233, 0.9000)
Cu (0.6271, 0.1228, 0.5824)
Cu (0.8729, 0.8772, 0.0824)
Cu (0.9715, 0.6767, 0.4000)
Cu (0.9958, 0.5803, 0.0326)
Sb (0.1096, 0.2181, 0.7632)
Sb (0.3904, 0.7819, 0.2632)
Sb (0.6096, 0.2819, 0.2368)
Sb (0.8904, 0.7181, 0.7368)
S (0.1155, 0.8243, 0.9267)
S (0.1173, 0.8389, 0.5571)
S (0.1385, 0.5405, 0.2379)
S (0.3615, 0.4595, 0.7379)
S (0.3827, 0.1611, 0.0571)
S (0.3845, 0.1757, 0.4267)
S (0.6155, 0.6757, 0.0733)
S (0.6173, 0.6611, 0.4429)
S (0.6385, 0.9595, 0.7621)
S (0.8615, 0.0405, 0.2621)
S (0.8827, 0.3389, 0.9429)
S (0.8845, 0.3243, 0.5733)

***

[7]
An optimized crystal structure of PHRhCl2, computed with GGA-PBEsol.

Calculated values
Its space-group type is P4/mmm. As for the energy: -3.72 eV per atom.

abc: 4.9017 4.9017 4.3300
angles: 90.00 90.00 90.00
Fractional coordinates of all 5 atoms:
P (0.0000, 0.0000, 0.0000)
H (0.5000, 0.5000, 0.0000)
Rh (0.0000, 0.0000, 0.5000)
Cl (0.0000, 0.5000, 0.5000)
Cl (0.5000, 0.0000, 0.5000)

***

[8]
An optimized crystal structure of Mn2BeTe, computed with GGA-PBEsol.

Calculated values
Its space-group type is P2/m. The value obtained for the distance to the lowest polymorph of the same formula is 104.6 meV/atom. As for the energy: -6.34 eV per atom. The formation energy from raw total energies is 0.42 eV per atom.

abc: 3.0676 3.2999 5.3358
angles: 90.00 95.96 90.00
Fractional coordinates of all 4 atoms:
Mn (0.0409, 0.0000, 0.2819)
Mn (0.9591, 0.0000, 0.7181)
Be (0.5000, 0.5000, 0.5000)
Te (0.5000, 0.5000, 0.0000)

***

[9]
An optimized crystal structure of MnNiHg2, computed with GGA-PBEsol.

Calculated values
Its space-group type is F-43m. The value obtained for the distance to the lowest polymorph of the same formula is 44.0 meV/atom. As for the energy: -3.93 eV per atom. As for the formation energy: 335 meV per atom.

abc: 4.5093 4.5093 4.5093
angles: 60.00 60.00 60.00
Fractional coordinates of all 4 atoms:
Mn (0.0000, 0.0000, 0.0000)
Ni (0.7500, 0.7500, 0.7500)
Hg (0.2500, 0.2500, 0.2500)
Hg (0.5000, 0.5000, 0.5000)

***

[10]
An optimized crystal structure of CaTl2Pt, computed with GGA-PBEsol.

Calculated values
Its space-group type is P2/m. As for the energy: -3.87 eV per atom. As for the formation energy: -281 meV per atom.

abc: 3.7923 4.7060 5.4992
angles: 90.00 102.11 90.00
Fractional coordinates of all 4 atoms:
Ca (0.0000, 0.0000, 0.0000)
Tl (0.3307, 0.5000, 0.7245)
Tl (0.6693, 0.5000, 0.2755)
Pt (0.5000, 0.0000, 0.5000)

***

[11]
An optimized crystal structure of CSeI3, computed with GGA-PBEsol.

Calculated values
Its space-group type is Pm-3m. As for the energy: -2.53 eV per atom. The formation energy from raw total energies is 1.23 eV per atom.

abc: 4.9418 4.9418 4.9418
angles: 90.00 90.00 90.00
Fractional coordinates of all 5 atoms:
C (0.0000, 0.0000, 0.0000)
Se (0.5000, 0.5000, 0.5000)
I (0.0000, 0.0000, 0.5000)
I (0.0000, 0.5000, 0.0000)
I (0.5000, 0.0000, 0.0000)

***

[12]
An optimized crystal structure of Si3N4, computed with GGA-PBEsol.

Calculated values
Its space-group type is I-43d. The value obtained for the distance to the lowest polymorph of the same formula is 84.6 meV/atom. As for the energy: -8.51 eV per atom. The formation energy from raw total energies is -1.18 eV per atom.

abc: 5.5912 5.5912 5.5912
angles: 109.47 109.47 109.47
Fractional coordinates of all 14 atoms:
Si (0.1250, 0.7500, 0.8750)
Si (0.2500, 0.6250, 0.3750)
Si (0.3750, 0.2500, 0.6250)
Si (0.6250, 0.3750, 0.2500)
Si (0.7500, 0.8750, 0.1250)
Si (0.8750, 0.1250, 0.7500)
N (0.0000, 0.0617, 0.5000)
N (0.0000, 0.5617, 0.5000)
N (0.0617, 0.5000, 0.0000)
N (0.4383, 0.4383, 0.4383)
N (0.5000, 0.0000, 0.0617)
N (0.5000, 0.0000, 0.5617)
N (0.5617, 0.5000, 0.0000)
N (0.9383, 0.9383, 0.9383)

***

[13]
An optimized crystal structure of MnBe2Ag, computed with GGA-PBEsol.

Calculated values
Its space-group type is Fm-3m. The value obtained for the distance to the lowest polymorph of the same formula is 0.0 meV/atom. As for the energy: -5.10 eV per atom. As for the formation energy: 163 meV per atom.

abc: 3.9753 3.9753 3.9753
angles: 60.00 60.00 60.00
Fractional coordinates of all 4 atoms:
Mn (0.0000, 0.0000, 0.0000)
Be (0.2500, 0.2500, 0.2500)
Be (0.7500, 0.7500, 0.7500)
Ag (0.5000, 0.5000, 0.5000)

***

[14]
An optimized crystal structure of Y2PtBr, computed with GGA-PBEsol.

Calculated values
Its space-group type is I4/mmm. The value obtained for the distance to the lowest polymorph of the same formula is 361.4 meV/atom. As for the energy: -6.50 eV per atom. The formation energy from raw total energies is -0.88 eV per atom.

abc: 5.0487 5.0487 5.0487
angles: 121.80 121.80 86.91
Fractional coordinates of all 4 atoms:
Y (0.2500, 0.7500, 0.5000)
Y (0.7500, 0.2500, 0.5000)
Pt (0.0000, 0.0000, 0.0000)
Br (0.5000, 0.5000, 0.0000)

***

[15]
An optimized crystal structure of YCd2, computed with GGA-PBEsol.

Calculated values
Its space-group type is Pnma. As for the energy: -3.41 eV per atom. As for the formation energy: -340 meV per atom.

abc: 6.2562 4.8961 9.0428
angles: 90.00 90.00 90.00
Fractional coordinates of all 12 atoms:
Y (0.1839, 0.2500, 0.0802)
Y (0.3161, 0.7500, 0.5802)
Y (0.6839, 0.2500, 0.4198)
Y (0.8161, 0.7500, 0.9198)
Cd (0.0317, 0.2500, 0.7343)
Cd (0.1782, 0.2500, 0.4117)
Cd (0.3218, 0.7500, 0.9117)
Cd (0.4683, 0.7500, 0.2343)
Cd (0.5317, 0.2500, 0.7657)
Cd (0.6782, 0.2500, 0.0883)
Cd (0.8218, 0.7500, 0.5883)
Cd (0.9683, 0.7500, 0.2657)

***

[16]
An optimized crystal structure of TcP3, computed with GGA-PBEsol.

Calculated values
Its space-group type is Cmmm. The value obtained for the distance to the lowest polymorph of the same formula is 772.6 meV/atom. As for the energy: -6.89 eV per atom. As for the formation energy: 267 meV per atom.

abc: 4.2755 4.2755 2.9572
angles: 90.00 90.00 105.59
Fractional coordinates of all 4 atoms:
Tc (0.0000, 0.0000, 0.0000)
P (0.0000, 0.5000, 0.5000)
P (0.5000, 0.0000, 0.5000)
P (0.5000, 0.5000, 0.0000)

***

[17]
An optimized crystal structure of ZnIrRu2, computed with GGA-PBEsol.

Calculated values
Its space-group type is I-4m2. As for the energy: -7.85 eV per atom. As for the formation energy: 92 meV per atom.

abc: 4.6950 4.6950 4.6950
angles: 133.31 133.31 68.17
Fractional coordinates of all 4 atoms:
Zn (0.0000, 0.0000, 0.0000)
Ir (0.7500, 0.2500, 0.5000)
Ru (0.2500, 0.7500, 0.5000)
Ru (0.5000, 0.5000, 0.0000)

***

[18]
An optimized crystal structure of Co12Tc17, computed with GGA-PBEsol.

Calculated values
Its space-group type is I-43m. As for the energy: -9.78 eV per atom. As for the formation energy: 30 meV per atom.

abc: 7.7627 7.7627 7.7627
angles: 109.47 109.47 109.47
Fractional coordinates of all 29 atoms:
Co (0.0000, 0.6361, 0.8142)
Co (0.0000, 0.8142, 0.6361)
Co (0.1781, 0.3639, 0.3639)
Co (0.1858, 0.1858, 0.8219)
Co (0.1858, 0.8219, 0.1858)
Co (0.3639, 0.1781, 0.3639)
Co (0.3639, 0.3639, 0.1781)
Co (0.6361, 0.0000, 0.8142)
Co (0.6361, 0.8142, 0.0000)
Co (0.8142, 0.0000, 0.6361)
Co (0.8142, 0.6361, 0.0000)
Co (0.8219, 0.1858, 0.1858)
Tc (0.0000, 0.0000, 0.0000)
Tc (0.0000, 0.0000, 0.3578)
Tc (0.0000, 0.3154, 0.6000)
Tc (0.0000, 0.3578, 0.0000)
Tc (0.0000, 0.6000, 0.3154)
Tc (0.2846, 0.6846, 0.6846)
Tc (0.3154, 0.0000, 0.6000)
Tc (0.3154, 0.6000, 0.0000)
Tc (0.3578, 0.0000, 0.0000)
Tc (0.4000, 0.4000, 0.7154)
Tc (0.4000, 0.7154, 0.4000)
Tc (0.6000, 0.0000, 0.3154)
Tc (0.6000, 0.3154, 0.0000)
Tc (0.6422, 0.6422, 0.6422)
Tc (0.6846, 0.2846, 0.6846)
Tc (0.6846, 0.6846, 0.2846)
Tc (0.7154, 0.4000, 0.4000)

***

[19]
An optimized crystal structure of MnH4S2O10, computed with GGA-PBEsol.

Calculated values
Its space-group type is P-1. As for the energy: -6.23 eV per atom.

abc: 5.8758 7.2892 9.7465
angles: 68.91 78.20 71.20
Fractional coordinates of all 34 atoms:
Mn (0.0227, 0.4797, 0.2521)
Mn (0.9773, 0.5203, 0.7479)
H (0.2054, 0.1885, 0.9032)
H (0.2353, 0.1961, 0.7268)
H (0.2538, 0.0959, 0.3364)
H (0.4241, 0.2324, 0.2152)
H (0.5759, 0.7676, 0.7848)
H (0.7462, 0.9041, 0.6636)
H (0.7647, 0.8039, 0.2732)
H (0.7946, 0.8115, 0.0968)
S (0.1118, 0.7444, 0.4070)
S (0.1459, 0.7322, 0.9204)
S (0.8541, 0.2678, 0.0796)
S (0.8882, 0.2556, 0.5930)
O (0.0894, 0.1240, 0.0653)
O (0.1342, 0.5797, 0.5582)
O (0.1382, 0.1361, 0.6111)
O (0.1694, 0.6522, 0.7935)
O (0.1740, 0.5432, 0.0585)
O (0.2021, 0.6216, 0.2990)
O (0.2337, 0.2750, 0.7951)
O (0.2809, 0.2381, 0.2952)
O (0.2816, 0.8597, 0.3885)
O (0.3512, 0.8141, 0.8956)
O (0.6488, 0.1859, 0.1044)
O (0.7184, 0.1403, 0.6115)
O (0.7191, 0.7619, 0.7048)
O (0.7663, 0.7250, 0.2049)
O (0.7979, 0.3784, 0.7010)
O (0.8260, 0.4568, 0.9415)
O (0.8306, 0.3478, 0.2065)
O (0.8618, 0.8639, 0.3889)
O (0.8658, 0.4203, 0.4418)
O (0.9106, 0.8760, 0.9347)

***

[20]
An optimized crystal structure of SrLiY, computed with GGA-PBEsol.

Calculated values
Its space-group type is I4mm. The value obtained for the distance to the lowest polymorph of the same formula is 0.0 meV/atom. As for the energy: -3.36 eV per atom. As for the formation energy: 183 meV per atom.

abc: 7.3701 7.3701 7.3701
angles: 150.24 150.24 42.59
Fractional coordinates of all 3 atoms:
Sr (0.0000, 0.0000, 0.0000)
Li (0.6637, 0.6637, 0.0000)
Y (0.2946, 0.2946, 0.0000)